Here is a geometry-optimized K3CoNi2F9 structure from Alexandria via LeMat-Bulk. Energies are from PBE+U.

The structure in CIF format:
```
data_K3CoNi2F9
_cell_length_a 5.780
_cell_length_b 5.780
_cell_length_c 7.076
_cell_angle_alpha 90.00
_cell_angle_beta 90.00
_cell_angle_gamma 120.00
_symmetry_space_group_name_H-M 'P 1'
_symmetry_Int_Tables_number 1
loop_
_symmetry_equiv_pos_as_xyz
'x,y,z'
loop_
_atom_site_label
_atom_site_type_symbol
_atom_site_fract_x
_atom_site_fract_y
_atom_site_fract_z
K1 K 0.000 0.000 0.000
K2 K 0.333 0.667 0.667
K3 K 0.667 0.333 0.333
Co1 Co 0.000 0.000 0.500
Ni1 Ni 0.333 0.667 0.166
Ni2 Ni 0.667 0.333 0.834
F1 F 0.000 0.500 0.000
F2 F 0.168 0.336 0.332
F3 F 0.168 0.832 0.332
F4 F 0.336 0.168 0.668
F5 F 0.500 0.000 0.000
F6 F 0.500 0.500 0.000
F7 F 0.664 0.832 0.332
F8 F 0.832 0.168 0.668
F9 F 0.832 0.664 0.668
```

Computed properties:
The calculation puts the electronic total energy at -4.489 eV/atom. Its volume is 205 Å³ per cell. The total moment is 7.000 μB per formula unit. Its symmetry is P-3m1, No. 164.